# 1
{
  "formula": "Cd2CoOs",
  "functional": "PBE",
  "state": "relaxed",
  "space_group": "P4/mmm",
  "polymorph_energy_ev_per_atom": 0.343,
  "n_ef_per_ev_cell": 4.76,
  "delta_e_f_mev_per_atom": 617,
  "lattice_angstrom": [[3.926, 0.000, 0.000], [0.000, 3.926, 0.000], [0.000, 0.000, 4.238]],
  "species": ["Cd", "Cd", "Co", "Os"],
  "frac_coords": [[0.000, 0.500, 0.000], [0.500, 0.000, 0.000], [0.000, 0.000, 0.500], [0.500, 0.500, 0.500]]
}

# 2
{
  "formula": "LiBePCl2",
  "functional": "PBE",
  "state": "relaxed",
  "space_group": "P4/mmm",
  "polymorph_energy_ev_per_atom": 0.740,
  "e_form_raw_ev_per_atom": 0.420,
  "n_ef_per_ev_cell": 3.74,
  "lattice_angstrom": [[4.239, 0.000, 0.000], [0.000, 4.239, 0.000], [0.000, 0.000, 6.004]],
  "species": ["Li", "Be", "P", "Cl", "Cl"],
  "frac_coords": [[0.000, 0.000, 0.000], [0.500, 0.500, 0.500], [0.000, 0.000, 0.500], [0.000, 0.500, 0.000], [0.500, 0.000, 0.000]]
}

# 3
{
  "formula": "Re4Si2Au",
  "functional": "PBE",
  "state": "relaxed",
  "space_group": "I4/mmm",
  "e_form_raw_ev_per_atom": 2.091,
  "n_ef_per_ev_cell": 6.91,
  "lattice_angstrom": [[-2.385, 2.385, 6.150], [2.385, -2.385, 6.150], [2.385, 2.385, -6.150]],
  "species": ["Re", "Re", "Re", "Re", "Si", "Si", "Au"],
  "frac_coords": [[0.000, 0.500, 0.500], [0.215, 0.215, 0.000], [0.500, 0.000, 0.500], [0.785, 0.785, 0.000], [0.404, 0.404, 0.000], [0.596, 0.596, 0.000], [0.000, 0.000, 0.000]]
}

What did the third record say?
{
  "formula": "Re4Si2Au",
  "functional": "PBE",
  "state": "relaxed",
  "space_group": "I4/mmm",
  "e_form_raw_ev_per_atom": 2.091,
  "n_ef_per_ev_cell": 6.91,
  "lattice_angstrom": [[-2.385, 2.385, 6.150], [2.385, -2.385, 6.150], [2.385, 2.385, -6.150]],
  "species": ["Re", "Re", "Re", "Re", "Si", "Si", "Au"],
  "frac_coords": [[0.000, 0.500, 0.500], [0.215, 0.215, 0.000], [0.500, 0.000, 0.500], [0.785, 0.785, 0.000], [0.404, 0.404, 0.000], [0.596, 0.596, 0.000], [0.000, 0.000, 0.000]]
}